! PBEsol BeZnCu2, relaxed; values from VASP
! * relative energy among the computed polymorphs: 1.26 kJ/mol of atoms
! * density of states at the Fermi level: 1.088 states/eV per cell
&SYSTEM
  ibrav = 0, nat = 4, ntyp = 3
/
ATOMIC_SPECIES
Cu 63.55 Cu.upf
Be 9.01 Be.upf
Zn 65.41 Zn.upf
ATOMIC_POSITIONS angstrom
Cu 0.000 0.000 0.000
Cu -0.560 -2.291 0.882
Be 1.073 -2.072 -0.948
Zn -1.346 -1.527 -1.385
CELL_PARAMETERS angstrom
-2.980 -1.746 0.445
0.287 -1.308 -3.214
3.205 -1.308 2.704